Record 1
# Sm5Bi4Te, optimized geometry, DFT PBE
data_Sm5Bi4Te
_space_group_name_H-M_alt 'I 4/m'
_space_group_IT_number 87
_space_group_name_Hall '-I 4'
_cell_length_a 10.1431
_cell_length_b 10.1431
_cell_length_c 6.4189
_cell_angle_alpha 90.00
_cell_angle_beta 90.00
_cell_angle_gamma 90.00
loop_
_atom_site_label
_atom_site_type_symbol
_atom_site_fract_x
_atom_site_fract_y
_atom_site_fract_z
Sm1 Sm 0.0000 0.0000 0.0000
Sm2 Sm 0.1008 0.6990 0.5000
Bi1 Bi 0.1000 0.7006 0.0000
Te1 Te 0.0000 0.0000 0.5000
# - E_form (uncorrected) (meV per atom) = -1040.1

Record 2
# LiCuF6, optimized geometry, DFT PBE
data_LiCuF6
_space_group_name_H-M_alt 'C 1 2/c 1'
_space_group_IT_number 15
_space_group_name_Hall '-C 2yc'
_cell_length_a 8.2415
_cell_length_b 5.7359
_cell_length_c 8.4214
_cell_angle_alpha 90.00
_cell_angle_beta 91.32
_cell_angle_gamma 90.00
loop_
_atom_site_label
_atom_site_type_symbol
_atom_site_fract_x
_atom_site_fract_y
_atom_site_fract_z
Li1 Li 0.0000 0.0169 0.2500
Cu1 Cu 0.2500 0.2500 0.5000
F1 F 0.0700 0.2962 0.3776
F2 F 0.1303 0.2534 0.6770
F3 F 0.2081 0.0588 0.9816
# - E_form (uncorrected) (meV per atom) = -1367.9

Record 3
# Li2Pr2Ge3, optimized geometry, DFT PBE
data_Li2Pr2Ge3
_space_group_name_H-M_alt 'C m c m'
_space_group_IT_number 63
_space_group_name_Hall '-C 2c 2'
_cell_length_a 4.4865
_cell_length_b 18.8717
_cell_length_c 6.9882
_cell_angle_alpha 90.00
_cell_angle_beta 90.00
_cell_angle_gamma 90.00
loop_
_atom_site_label
_atom_site_type_symbol
_atom_site_fract_x
_atom_site_fract_y
_atom_site_fract_z
Li1 Li 0.0000 0.1905 0.0621
Pr1 Pr 0.0000 0.3424 0.2500
Pr2 Pr 0.0000 0.4482 0.7500
Ge1 Ge 0.0000 0.0620 0.5666
Ge2 Ge 0.0000 0.2797 0.7500
# - ΔE_f (kJ/mol of atoms) = -68

Record 4
# LiGeC3, optimized geometry, DFT PBE
data_LiGeC3
_space_group_name_H-M_alt 'P m -3 m'
_space_group_IT_number 221
_space_group_name_Hall '-P 4 2 3'
_cell_length_a 3.9832
_cell_length_b 3.9832
_cell_length_c 3.9832
_cell_angle_alpha 90.00
_cell_angle_beta 90.00
_cell_angle_gamma 90.00
loop_
_atom_site_label
_atom_site_type_symbol
_atom_site_fract_x
_atom_site_fract_y
_atom_site_fract_z
Li1 Li 0.0000 0.0000 0.0000
Ge1 Ge 0.5000 0.5000 0.5000
C1 C 0.0000 0.5000 0.5000
# - excess energy over the best structure of this formula in the dataset (eV per atom) = 0.000
# - ΔE_f (kJ/mol of atoms) = 229

Record 5
# Nd5Dy12Er2, optimized geometry, DFT PBE
data_Nd5Dy12Er2
_space_group_name_H-M_alt 'P -1'
_space_group_IT_number 2
_space_group_name_Hall '-P 1'
_cell_length_a 6.1900
_cell_length_b 9.4522
_cell_length_c 10.7253
_cell_angle_alpha 101.01
_cell_angle_beta 95.53
_cell_angle_gamma 90.17
loop_
_atom_site_label
_atom_site_type_symbol
_atom_site_fract_x
_atom_site_fract_y
_atom_site_fract_z
Nd1 Nd 0.0000 0.0000 0.0000
Nd2 Nd 0.1577 0.6311 0.9462
Nd3 Nd 0.2636 0.0528 0.5788
Dy1 Dy 0.0539 0.2125 0.3172
Dy2 Dy 0.1050 0.4216 0.6301
Dy3 Dy 0.2104 0.8405 0.2636
Dy4 Dy 0.3176 0.2631 0.8946
Dy5 Dy 0.3694 0.4735 0.2127
Dy6 Dy 0.4743 0.8939 0.8411
Er1 Er 0.4198 0.6817 0.5262
# - excess energy over the best structure of this formula in the dataset (eV per atom) = 0.000
# - ΔE_f (kJ/mol of atoms) = 2

Record 6
# LiZr, optimized geometry, DFT PBE
data_LiZr
_space_group_name_H-M_alt 'P m -3 n'
_space_group_IT_number 223
_space_group_name_Hall '-P 4n 2 3'
_cell_length_a 7.3773
_cell_length_b 7.3773
_cell_length_c 7.3773
_cell_angle_alpha 90.00
_cell_angle_beta 90.00
_cell_angle_gamma 90.00
loop_
_atom_site_label
_atom_site_type_symbol
_atom_site_fract_x
_atom_site_fract_y
_atom_site_fract_z
Li1 Li 0.0000 0.2500 0.5000
Zr1 Zr 0.0000 0.5000 0.2500
# - excess energy over the best structure of this formula in the dataset (eV per atom) = 2.004
# - ΔE_f (kJ/mol of atoms) = 201

Record 7
# LaRuN2, optimized geometry, DFT PBE
data_LaRuN2
_space_group_name_H-M_alt 'R -3 m'
_space_group_IT_number 166
_space_group_name_Hall '-R 3 2"'
_cell_length_a 3.9273
_cell_length_b 3.9273
_cell_length_c 17.2492
_cell_angle_alpha 90.00
_cell_angle_beta 90.00
_cell_angle_gamma 120.00
loop_
_atom_site_label
_atom_site_type_symbol
_atom_site_fract_x
_atom_site_fract_y
_atom_site_fract_z
La1 La 0.0000 0.0000 0.0000
Ru1 Ru 0.0000 0.0000 0.5000
N1 N 0.0000 0.0000 0.3957
# - excess energy over the best structure of this formula in the dataset (eV per atom) = 0.166
# - E_form (uncorrected) (meV per atom) = -221.6

Record 8
# BeZnAg, optimized geometry, DFT PBE
data_BeZnAg
_space_group_name_H-M_alt 'C 1 m 1'
_space_group_IT_number 8
_space_group_name_Hall 'C -2y'
_cell_length_a 9.8147
_cell_length_b 2.8860
_cell_length_c 5.9947
_cell_angle_alpha 90.00
_cell_angle_beta 107.12
_cell_angle_gamma 90.00
loop_
_atom_site_label
_atom_site_type_symbol
_atom_site_fract_x
_atom_site_fract_y
_atom_site_fract_z
Be1 Be 0.0000 0.0000 0.0000
Be2 Be 0.1648 0.5000 0.9062
Zn1 Zn 0.0152 0.0000 0.5876
Zn2 Zn 0.3556 0.0000 0.2117
Ag1 Ag 0.1465 0.5000 0.3141
Ag2 Ag 0.3150 0.0000 0.7301
# - excess energy over the best structure of this formula in the dataset (eV per atom) = 0.056
# - ΔE_f (kJ/mol of atoms) = 10

Record 9
# BaLiOs2O8, optimized geometry, DFT PBE
data_BaLiOs2O8
_space_group_name_H-M_alt 'P -3'
_space_group_IT_number 147
_space_group_name_Hall '-P 3'
_cell_length_a 5.8298
_cell_length_b 5.8298
_cell_length_c 7.2706
_cell_angle_alpha 90.00
_cell_angle_beta 90.00
_cell_angle_gamma 120.00
loop_
_atom_site_label
_atom_site_type_symbol
_atom_site_fract_x
_atom_site_fract_y
_atom_site_fract_z
Ba1 Ba 0.0000 0.0000 0.0000
Li1 Li 0.0000 0.0000 0.5000
Os1 Os 0.3333 0.6667 0.7515
O1 O 0.1597 0.8340 0.6874
O2 O 0.3333 0.6667 0.9994
# - E_form (uncorrected) (meV per atom) = -1417.9

Record 10
# BaNdDy4S8, optimized geometry, DFT PBE
data_BaNdDy4S8
_space_group_name_H-M_alt 'R 3 m'
_space_group_IT_number 160
_space_group_name_Hall 'R 3 -2"'
_cell_length_a 8.2451
_cell_length_b 8.2451
_cell_length_c 20.5226
_cell_angle_alpha 90.00
_cell_angle_beta 90.00
_cell_angle_gamma 120.00
loop_
_atom_site_label
_atom_site_type_symbol
_atom_site_fract_x
_atom_site_fract_y
_atom_site_fract_z
Ba1 Ba 0.0000 0.0000 0.0000
Nd1 Nd 0.0000 0.0000 0.6288
Dy1 Dy 0.0000 0.0000 0.2522
Dy2 Dy 0.1689 0.3378 0.4597
S1 S 0.0000 0.0000 0.3842
S2 S 0.0000 0.0000 0.8583
S3 S 0.0425 0.5213 0.3862
S4 S 0.1734 0.3468 0.2055
# - E_form (uncorrected) (meV per atom) = -1961.8

Record 11
# CaTbTcN3, optimized geometry, DFT PBE
data_CaTbTcN3
_space_group_name_H-M_alt 'P 1 21/m 1'
_space_group_IT_number 11
_space_group_name_Hall '-P 2yb'
_cell_length_a 6.1262
_cell_length_b 3.4483
_cell_length_c 9.0701
_cell_angle_alpha 90.00
_cell_angle_beta 102.24
_cell_angle_gamma 90.00
loop_
_atom_site_label
_atom_site_type_symbol
_atom_site_fract_x
_atom_site_fract_y
_atom_site_fract_z
Ca1 Ca 0.1522 0.2500 0.1782
Tb1 Tb 0.3583 0.2500 0.8577
Tc1 Tc 0.1456 0.7500 0.5748
N1 N 0.0025 0.2500 0.6555
N2 N 0.2710 0.7500 0.0116
N3 N 0.4272 0.7500 0.6775
# - E_form (uncorrected) (meV per atom) = -791.8

Record 12
# AsIrSeBr2, optimized geometry, DFT PBE
data_AsIrSeBr2
_space_group_name_H-M_alt 'P 4/m m m'
_space_group_IT_number 123
_space_group_name_Hall '-P 4 2'
_cell_length_a 4.9739
_cell_length_b 4.9739
_cell_length_c 5.5304
_cell_angle_alpha 90.00
_cell_angle_beta 90.00
_cell_angle_gamma 90.00
loop_
_atom_site_label
_atom_site_type_symbol
_atom_site_fract_x
_atom_site_fract_y
_atom_site_fract_z
As1 As 0.0000 0.0000 0.0000
Ir1 Ir 0.5000 0.5000 0.0000
Se1 Se 0.0000 0.0000 0.5000
Br1 Br 0.0000 0.5000 0.5000
# - excess energy over the best structure of this formula in the dataset (eV per atom) = 0.865
# - E_form (uncorrected) (meV per atom) = 1441.4

Record 13
# ThUO4, optimized geometry, DFT PBE
data_ThUO4
_space_group_name_H-M_alt 'P 4/m m m'
_space_group_IT_number 123
_space_group_name_Hall '-P 4 2'
_cell_length_a 3.9090
_cell_length_b 3.9090
_cell_length_c 5.5362
_cell_angle_alpha 90.00
_cell_angle_beta 90.00
_cell_angle_gamma 90.00
loop_
_atom_site_label
_atom_site_type_symbol
_atom_site_fract_x
_atom_site_fract_y
_atom_site_fract_z
Th1 Th 0.0000 0.0000 0.0000
U1 U 0.5000 0.5000 0.5000
O1 O 0.0000 0.5000 0.2565
# - E_form (uncorrected) (meV per atom) = -3542.2

Record 14
# TlCd2N, optimized geometry, DFT PBE
data_TlCd2N
_space_group_name_H-M_alt 'I -4 2 d'
_space_group_IT_number 122
_space_group_name_Hall 'I -4 2bw'
_cell_length_a 6.6359
_cell_length_b 6.6359
_cell_length_c 9.0988
_cell_angle_alpha 90.00
_cell_angle_beta 90.00
_cell_angle_gamma 90.00
loop_
_atom_site_label
_atom_site_type_symbol
_atom_site_fract_x
_atom_site_fract_y
_atom_site_fract_z
Tl1 Tl 0.0000 0.0000 0.0000
Cd1 Cd 0.1205 0.7500 0.6250
N1 N 0.0000 0.0000 0.5000
# - excess energy over the best structure of this formula in the dataset (eV per atom) = 0.000
# - E_form (uncorrected) (meV per atom) = 458.9

Record 15
# PrErAl, optimized geometry, DFT PBE
data_PrErAl
_space_group_name_H-M_alt 'P 63/m m c'
_space_group_IT_number 194
_space_group_name_Hall '-P 6c 2c'
_cell_length_a 5.3440
_cell_length_b 5.3440
_cell_length_c 6.7226
_cell_angle_alpha 90.00
_cell_angle_beta 90.00
_cell_angle_gamma 120.00
loop_
_atom_site_label
_atom_site_type_symbol
_atom_site_fract_x
_atom_site_fract_y
_atom_site_fract_z
Pr1 Pr 0.0000 0.0000 0.0000
Er1 Er 0.3333 0.6667 0.2500
Al1 Al 0.3333 0.6667 0.7500
# - excess energy over the best structure of this formula in the dataset (eV per atom) = 0.000
# - ΔE_f (kJ/mol of atoms) = -21

Record 16
# LiGaSi, optimized geometry, DFT PBE
data_LiGaSi
_space_group_name_H-M_alt 'P 1 m 1'
_space_group_IT_number 6
_space_group_name_Hall 'P -2y'
_cell_length_a 3.6853
_cell_length_b 3.8953
_cell_length_c 7.2828
_cell_angle_alpha 90.00
_cell_angle_beta 104.30
_cell_angle_gamma 90.00
loop_
_atom_site_label
_atom_site_type_symbol
_atom_site_fract_x
_atom_site_fract_y
_atom_site_fract_z
Li1 Li 0.0000 0.0000 0.0000
Li2 Li 0.1844 0.5000 0.3772
Ga1 Ga 0.6378 0.0000 0.2823
Ga2 Ga 0.8174 0.0000 0.6394
Si1 Si 0.3736 0.5000 0.7495
Si2 Si 0.5402 0.5000 0.0830
# - E_form (uncorrected) (meV per atom) = -62.8

Record 17
# Sm2EuMn, optimized geometry, DFT PBE
data_Sm2EuMn
_space_group_name_H-M_alt 'R -3 m'
_space_group_IT_number 166
_space_group_name_Hall '-R 3 2"'
_cell_length_a 3.5983
_cell_length_b 3.5983
_cell_length_c 32.9154
_cell_angle_alpha 90.00
_cell_angle_beta 90.00
_cell_angle_gamma 120.00
loop_
_atom_site_label
_atom_site_type_symbol
_atom_site_fract_x
_atom_site_fract_y
_atom_site_fract_z
Sm1 Sm 0.0000 0.0000 0.2352
Eu1 Eu 0.0000 0.0000 0.0000
Mn1 Mn 0.0000 0.0000 0.5000
# - excess energy over the best structure of this formula in the dataset (eV per atom) = 0.135
# - ΔE_f (kJ/mol of atoms) = 30

Record 18
# Ba2ZnTcRh, optimized geometry, DFT PBE
data_Ba2ZnTcRh
_space_group_name_H-M_alt 'P 4/m m m'
_space_group_IT_number 123
_space_group_name_Hall '-P 4 2'
_cell_length_a 6.1352
_cell_length_b 6.1352
_cell_length_c 4.6870
_cell_angle_alpha 90.00
_cell_angle_beta 90.00
_cell_angle_gamma 90.00
loop_
_atom_site_label
_atom_site_type_symbol
_atom_site_fract_x
_atom_site_fract_y
_atom_site_fract_z
Ba1 Ba 0.0000 0.5000 0.0000
Zn1 Zn 0.0000 0.0000 0.5000
Tc1 Tc 0.5000 0.5000 0.5000
Rh1 Rh 0.5000 0.5000 0.0000
# - ΔE_f (kJ/mol of atoms) = 47

Record 19
# PmTmMgPt, optimized geometry, DFT PBE
data_PmTmMgPt
_space_group_name_H-M_alt 'F -4 3 m'
_space_group_IT_number 216
_space_group_name_Hall 'F -4 2 3'
_cell_length_a 7.2396
_cell_length_b 7.2396
_cell_length_c 7.2396
_cell_angle_alpha 90.00
_cell_angle_beta 90.00
_cell_angle_gamma 90.00
loop_
_atom_site_label
_atom_site_type_symbol
_atom_site_fract_x
_atom_site_fract_y
_atom_site_fract_z
Pm1 Pm 0.0000 0.0000 0.0000
Tm1 Tm 0.0000 0.0000 0.5000
Mg1 Mg 0.2500 0.2500 0.2500
Pt1 Pt 0.2500 0.2500 0.7500
# - ΔE_f (kJ/mol of atoms) = -55

Record 20
# RbTl2SnSe4, optimized geometry, DFT PBE
data_RbTl2SnSe4
_space_group_name_H-M_alt 'I m m a'
_space_group_IT_number 74
_space_group_name_Hall '-I 2b 2'
_cell_length_a 8.5317
_cell_length_b 8.9478
_cell_length_c 12.5181
_cell_angle_alpha 90.00
_cell_angle_beta 90.00
_cell_angle_gamma 90.00
loop_
_atom_site_label
_atom_site_type_symbol
_atom_site_fract_x
_atom_site_fract_y
_atom_site_fract_z
Rb1 Rb 0.2500 0.2500 0.2500
Tl1 Tl 0.0000 0.0000 0.0000
Tl2 Tl 0.2500 0.2500 0.7500
Sn1 Sn 0.0000 0.0000 0.5000
Se1 Se 0.0000 0.0342 0.7382
Se2 Se 0.2288 0.2500 0.5140
# - E_form (uncorrected) (meV per atom) = -439.0

Record 21
# ErPa2As3, optimized geometry, DFT PBE
data_ErPa2As3
_space_group_name_H-M_alt 'P 1 21/c 1'
_space_group_IT_number 14
_space_group_name_Hall '-P 2ybc'
_cell_length_a 5.7840
_cell_length_b 12.2434
_cell_length_c 8.1751
_cell_angle_alpha 90.00
_cell_angle_beta 90.00
_cell_angle_gamma 90.00
loop_
_atom_site_label
_atom_site_type_symbol
_atom_site_fract_x
_atom_site_fract_y
_atom_site_fract_z
Er1 Er 0.2497 0.0822 0.1235
Pa1 Pa 0.2497 0.0831 0.6245
Pa2 Pa 0.2506 0.7496 0.1244
As1 As 0.2494 0.2502 0.3745
As2 As 0.2503 0.5833 0.3753
As3 As 0.2503 0.5825 0.8721
# - ΔE_f (kJ/mol of atoms) = -116

Record 22
# HgPd2Se2, optimized geometry, DFT PBE
data_HgPd2Se2
_space_group_name_H-M_alt 'I 4/m m m'
_space_group_IT_number 139
_space_group_name_Hall '-I 4 2'
_cell_length_a 5.0134
_cell_length_b 5.0134
_cell_length_c 8.4393
_cell_angle_alpha 90.00
_cell_angle_beta 90.00
_cell_angle_gamma 90.00
loop_
_atom_site_label
_atom_site_type_symbol
_atom_site_fract_x
_atom_site_fract_y
_atom_site_fract_z
Hg1 Hg 0.0000 0.0000 0.0000
Pd1 Pd 0.0000 0.0000 0.3268
Se1 Se 0.0000 0.5000 0.2500
# - E_form (uncorrected) (meV per atom) = -48.8